A plane-wave DFT calculation with PBE was carried out for a geometry-optimized La2ScSnP structure.

Output
For the total energy, the calculation gives -5.357 eV per atom. The value obtained for the density of states at the Fermi level is 5.437 states/eV per cell. The symmetry is P4/mmm (123). The formation energy comes out at -0.237 eV per atom.

CIF file:
```
data_La2ScSnP
_symmetry_space_group_name_H-M 'P 1'
_symmetry_Int_Tables_number 1
_cell_length_a 5.5642
_cell_length_b 5.5642
_cell_length_c 5.2044
_cell_angle_alpha 90.00
_cell_angle_beta 90.00
_cell_angle_gamma 90.00
loop_
_symmetry_equiv_pos_as_xyz
'x,y,z'
loop_
_atom_site_label
_atom_site_fract_x
_atom_site_fract_y
_atom_site_fract_z
La1 0.0000 0.5000 0.0000
La2 0.5000 0.0000 0.0000
Sc1 0.0000 0.0000 0.5000
Sn1 0.5000 0.5000 0.5000
P1 0.5000 0.5000 0.0000
```